P | NaGaFe3 | GGA-PBE | optimized geometry

Unit cell a=4.6053 b=4.6053 c=4.6053 alpha=90.00 beta=90.00 gamma=90.00
With the nearest neighbours (Å) after each atom.
Positions (direct):
Fe (0.0000, 0.0000, 0.5000)  2 Ga 2.30
Fe (0.5000, 0.0000, 0.0000)  2 Ga 2.30
Fe (0.0000, 0.5000, 0.0000)  2 Ga 2.30
Na (0.5000, 0.5000, 0.5000)  12 Fe 3.26
Ga (0.0000, 0.0000, 0.0000)  6 Fe 2.30

Results
symmetry = Pm-3m

=====

Q | NaGaFe3 | GGA-PBE | optimized geometry

Unit cell a=4.5816 b=4.5816 c=4.5816 alpha=90.00 beta=90.00 gamma=90.00
With the nearest neighbours (Å) after each atom.
Positions (direct):
Na (0.0000, 0.0000, 0.0000)  6 Fe 2.29
Fe (0.0000, 0.0000, 0.5000)  2 Na 2.29
Fe (0.5000, 0.0000, 0.0000)  2 Na 2.29
Fe (0.0000, 0.5000, 0.0000)  2 Na 2.29
Ga (0.5000, 0.5000, 0.5000)  12 Fe 3.24

Results
symmetry = Pm-3m

=====

Result of the stability comparison: Q is the least stable of them.

=====

P | NbGa2Fe2 | GGA-PBE | optimized geometry

Unit cell a=6.8162 b=6.8162 c=2.9383 alpha=90.00 beta=90.00 gamma=90.00
With the nearest neighbours (Å) after each atom.
Positions (direct):
Fe (0.8613, 0.6387, 0.0000)  6 Ga 2.45-2.50, 2 Nb 2.64, 1 Fe 2.67
Fe (0.1387, 0.3613, 0.0000)  6 Ga 2.45-2.50, 2 Nb 2.64, 1 Fe 2.67
Fe (0.3613, 0.8613, 0.0000)  6 Ga 2.45-2.50, 2 Nb 2.64, 1 Fe 2.67
Fe (0.6387, 0.1387, 0.0000)  6 Ga 2.45-2.50, 2 Nb 2.64, 1 Fe 2.67
Ga (0.6578, 0.8422, 0.5000)  6 Fe 2.45-2.50
Ga (0.8422, 0.3422, 0.5000)  6 Fe 2.45-2.50
Ga (0.3422, 0.1578, 0.5000)  6 Fe 2.45-2.50
Ga (0.1578, 0.6578, 0.5000)  6 Fe 2.45-2.50
Nb (0.0000, 0.0000, 0.0000)  4 Fe 2.64, 2 Nb 2.94
Nb (0.5000, 0.5000, 0.0000)  4 Fe 2.64, 2 Nb 2.94

Results
symmetry = P4/mbm

=====

Q | NbGa2Fe2 | GGA-PBE | optimized geometry

Unit cell a=7.1987 b=7.1987 c=2.7040 alpha=90.00 beta=90.00 gamma=90.00
With the nearest neighbours (Å) after each atom.
Positions (direct):
Nb (0.5000, 0.5000, 0.0000)  2 Nb 2.70, 4 Ga 2.78
Nb (0.0000, 0.0000, 0.0000)  2 Nb 2.70, 4 Ga 2.78
Ga (0.3605, 0.8605, 0.0000)  6 Fe 2.48-2.53, 2 Ga 2.70
Ga (0.1395, 0.3605, 0.0000)  6 Fe 2.48-2.53, 2 Ga 2.70
Ga (0.8605, 0.6395, 0.0000)  6 Fe 2.48-2.53, 2 Ga 2.70
Ga (0.6395, 0.1395, 0.0000)  6 Fe 2.48-2.53, 2 Ga 2.70
Fe (0.8438, 0.3438, 0.5000)  6 Ga 2.48-2.53, 2 Fe 2.70
Fe (0.3438, 0.1562, 0.5000)  6 Ga 2.48-2.53, 2 Fe 2.70
Fe (0.6562, 0.8438, 0.5000)  6 Ga 2.48-2.53, 2 Fe 2.70
Fe (0.1562, 0.6562, 0.5000)  6 Ga 2.48-2.53, 2 Fe 2.70

Results
symmetry = P4/mbm

=====

Result of the stability comparison: P is the least stable of them.

=====

P | Nb3GaFe8 | GGA-PBE | optimized geometry

Unit cell a=4.7905 b=4.7905 c=7.8023 alpha=90.00 beta=90.00 gamma=120.00
With the nearest neighbours (Å) after each atom.
Positions (direct):
Nb (0.0000, 0.0000, 0.9210)  12 Fe 2.74-2.91, 1 Ga 2.85, 3 Nb 2.99
Nb (0.6667, 0.3333, 0.0673)  12 Fe 2.79-2.82, 4 Nb 2.94-2.99
Nb (0.6667, 0.3333, 0.4437)  12 Fe 2.76-2.83, 3 Ga 2.90, 1 Nb 2.94
Fe (0.9968, 0.4984, 0.7512)  6 Fe 2.37-2.44
Fe (0.6721, 0.8360, 0.2503)  6 Fe 2.36-2.43
Fe (0.5016, 0.0032, 0.7512)  6 Fe 2.37-2.44
Fe (0.1640, 0.3279, 0.2503)  6 Fe 2.36-2.43
Fe (0.3333, 0.6667, 0.0074)  6 Fe 2.36-2.44
Fe (0.3333, 0.6667, 0.5002)  6 Fe 2.40
Fe (0.5016, 0.4984, 0.7512)  6 Fe 2.37-2.44
Fe (0.1640, 0.8360, 0.2503)  6 Fe 2.36-2.43
Ga (0.0000, 0.0000, 0.5560)  12 Fe 2.75-2.84, 4 Nb 2.85-2.90

Results
symmetry = P3m1

=====

Q | Nb3GaFe8 | GGA-PBE | optimized geometry

Unit cell a=4.8116 b=4.8116 c=8.3017 alpha=73.15 beta=73.15 gamma=60.00
With the nearest neighbours (Å) after each atom.
Positions (direct):
Nb (0.3761, 0.3761, 0.8718)  12 Fe 2.81-2.83, 4 Nb 2.97-2.98
Nb (0.9966, 0.9966, 0.0102)  12 Fe 2.77-2.88, 1 Ga 2.90, 3 Nb 2.98
Nb (0.5026, 0.5026, 0.4923)  12 Fe 2.77-2.85, 3 Ga 2.91, 1 Nb 2.97
Fe (0.4377, 0.9381, 0.1865)  6 Fe 2.40-2.41
Fe (0.9377, 0.4373, 0.6874)  6 Fe 2.39-2.41
Fe (0.6879, 0.6879, 0.9364)  6 Fe 2.39-2.40
Fe (0.4377, 0.4377, 0.1865)  6 Fe 2.40-2.41
Fe (0.1878, 0.1878, 0.4367)  6 Fe 2.40
Fe (0.4373, 0.9377, 0.6874)  6 Fe 2.39-2.41
Fe (0.9381, 0.4377, 0.1865)  6 Fe 2.40-2.41
Fe (0.9377, 0.9377, 0.6874)  6 Fe 2.39-2.41
Ga (0.8730, 0.8730, 0.3810)  12 Fe 2.77-2.85, 4 Nb 2.90-2.91

Results
symmetry = R3m

=====

Result of the stability comparison: P is the least stable of them.

=====

P | GaFeNi6 | GGA-PBE | optimized geometry

Unit cell a=4.2470 b=4.2470 c=6.3915 alpha=75.37 beta=75.37 gamma=68.60
With the nearest neighbours (Å) after each atom.
Positions (direct):
Ga (0.5000, 0.5000, 0.5000)  10 Ni 2.44-2.61
Ni (0.4621, 0.9402, 0.7019)  5 Ni 2.29-2.53, 1 Fe 2.35, 2 Ga 2.44-2.47
Ni (0.6358, 0.6358, 0.0710)  7 Ni 2.35-2.63, 1 Fe 2.46, 1 Ga 2.61
Ni (0.3642, 0.3642, 0.9290)  7 Ni 2.35-2.63, 1 Fe 2.46, 1 Ga 2.61
Ni (0.0598, 0.5379, 0.2981)  5 Ni 2.29-2.53, 1 Fe 2.35, 2 Ga 2.44-2.47
Ni (0.5379, 0.0598, 0.2981)  5 Ni 2.29-2.53, 1 Fe 2.35, 2 Ga 2.44-2.47
Ni (0.9402, 0.4621, 0.7019)  5 Ni 2.29-2.53, 1 Fe 2.35, 2 Ga 2.44-2.47
Fe (0.0000, 0.0000, 0.0000)  6 Ni 2.35-2.46

Results
symmetry = C2/m

=====

Q | GaFeNi6 | GGA-PBE | optimized geometry

Unit cell a=3.5701 b=3.5701 c=7.0827 alpha=90.00 beta=90.00 gamma=90.00
With the nearest neighbours (Å) after each atom.
Positions (direct):
Ni (0.5000, 0.0000, 0.7448)  2 Fe 2.49, 8 Ni 2.49-2.54, 2 Ga 2.54
Ni (0.5000, 0.5000, 0.5000)  8 Ni 2.49, 4 Fe 2.52
Ni (0.5000, 0.0000, 0.2552)  2 Fe 2.49, 8 Ni 2.49-2.54, 2 Ga 2.54
Ni (0.0000, 0.5000, 0.7448)  2 Fe 2.49, 8 Ni 2.49-2.54, 2 Ga 2.54
Ni (0.5000, 0.5000, 0.0000)  4 Ga 2.52, 8 Ni 2.54
Ni (0.0000, 0.5000, 0.2552)  2 Fe 2.49, 8 Ni 2.49-2.54, 2 Ga 2.54
Ga (0.0000, 0.0000, 0.0000)  12 Ni 2.52-2.54
Fe (0.0000, 0.0000, 0.5000)  12 Ni 2.49-2.52

Results
symmetry = P4/mmm

=====

Result of the stability comparison: P is the least stable of them.

=====

P | GaFeNi4 | GGA-PBE | optimized geometry

Unit cell a=4.8634 b=4.8615 c=7.3008 alpha=100.34 beta=100.35 gamma=117.42
With the nearest neighbours (Å) after each atom.
Positions (direct):
Ga (0.3750, 0.6250, 0.2500)  8 Ni 2.47, 2 Fe 2.53
Ga (0.6250, 0.3750, 0.7500)  8 Ni 2.47, 2 Fe 2.53
Ni (0.5328, 0.2773, 0.0605)  2 Fe 2.43-2.47, 2 Ga 2.47, 7 Ni 2.52-2.61
Ni (0.2168, 0.9723, 0.4395)  2 Fe 2.43-2.47, 2 Ga 2.47, 7 Ni 2.52-2.61
Ni (0.7832, 0.0277, 0.5605)  2 Fe 2.43-2.47, 2 Ga 2.47, 7 Ni 2.52-2.61
Ni (0.4672, 0.7227, 0.9395)  2 Fe 2.43-2.47, 2 Ga 2.47, 7 Ni 2.52-2.61
Ni (0.2773, 0.5328, 0.5605)  2 Fe 2.43-2.47, 2 Ga 2.47, 7 Ni 2.52-2.61
Ni (0.9724, 0.2168, 0.9395)  2 Fe 2.43-2.47, 2 Ga 2.47, 7 Ni 2.52-2.61
Ni (0.0276, 0.7832, 0.0605)  2 Fe 2.43-2.47, 2 Ga 2.47, 7 Ni 2.52-2.61
Ni (0.7227, 0.4672, 0.4395)  2 Fe 2.43-2.47, 2 Ga 2.47, 7 Ni 2.52-2.61
Fe (0.8750, 0.1250, 0.2500)  8 Ni 2.43-2.47, 2 Ga 2.53
Fe (0.1250, 0.8750, 0.7500)  8 Ni 2.43-2.47, 2 Ga 2.53

Results
symmetry = Fddd

=====

Q | GaFeNi4 | GGA-PBE | optimized geometry

Unit cell a=2.5981 b=4.4048 c=6.5852 alpha=98.26 beta=78.62 gamma=72.85
With the nearest neighbours (Å) after each atom.
Positions (direct):
Ga (0.0000, 0.0000, 0.0000)  10 Ni 2.51-2.58, 2 Ga 2.60
Ni (0.3318, 0.0000, 0.3363)  7 Ni 2.48-2.60, 3 Fe 2.50-2.55, 2 Ga 2.53
Ni (0.6682, 0.0000, 0.6637)  7 Ni 2.48-2.60, 3 Fe 2.50-2.55, 2 Ga 2.53
Ni (0.8341, 0.5015, 0.8302)  2 Fe 2.50, 3 Ga 2.51-2.58, 7 Ni 2.51-2.60
Ni (0.1659, 0.4985, 0.1698)  2 Fe 2.50, 3 Ga 2.51-2.58, 7 Ni 2.51-2.60
Fe (0.5000, 0.5000, 0.5000)  10 Ni 2.50-2.55, 2 Fe 2.60

Results
symmetry = C2/m

=====

Result of the stability comparison: P is the least stable of them.

=====

P | GaFe3Ni6 | GGA-PBE | optimized geometry

Unit cell a=3.5860 b=7.9401 c=8.0269 alpha=90.86 beta=90.00 gamma=90.00
With the nearest neighbours (Å) after each atom.
Positions (direct):
Fe (0.2500, 0.3480, 0.7958)  8 Ni 2.46-2.56, 4 Fe 2.52-2.56
Fe (0.7500, 0.4470, 0.6004)  8 Ni 2.50-2.54, 4 Fe 2.52-2.56
Fe (0.2500, 0.7497, 0.0001)  10 Ni 2.48-2.54, 2 Fe 2.56
Fe (0.2500, 0.5530, 0.3996)  8 Ni 2.50-2.54, 4 Fe 2.52-2.56
Fe (0.7500, 0.6520, 0.2042)  8 Ni 2.46-2.56, 4 Fe 2.52-2.56
Fe (0.7500, 0.2503, 0.9999)  10 Ni 2.48-2.54, 2 Fe 2.56
Ga (0.2500, 0.9408, 0.6159)  10 Ni 2.46-2.65
Ga (0.7500, 0.0592, 0.3841)  10 Ni 2.46-2.65
Ni (0.2500, 0.0520, 0.9034)  7 Ni 2.44-2.55, 1 Ga 2.46, 4 Fe 2.50-2.53
Ni (0.7500, 0.1463, 0.6993)  3 Ga 2.51-2.61, 4 Fe 2.52-2.54, 5 Ni 2.55-2.58
Ni (0.7500, 0.5473, 0.9011)  5 Ni 2.47-2.52, 7 Fe 2.50-2.56
Ni (0.2500, 0.8537, 0.3007)  3 Ga 2.51-2.61, 4 Fe 2.52-2.54, 5 Ni 2.55-2.58
Ni (0.7500, 0.9480, 0.0966)  7 Ni 2.44-2.55, 1 Ga 2.46, 4 Fe 2.50-2.53
Ni (0.2500, 0.6420, 0.7028)  5 Fe 2.46-2.52, 1 Ga 2.48, 6 Ni 2.52-2.56
Ni (0.2500, 0.1567, 0.1903)  8 Ni 2.44-2.58, 2 Fe 2.48, 2 Ga 2.50
Ni (0.7500, 0.8433, 0.8097)  8 Ni 2.44-2.58, 2 Fe 2.48, 2 Ga 2.50
Ni (0.7500, 0.7503, 0.5036)  3 Ga 2.51-2.65, 4 Fe 2.52-2.54, 5 Ni 2.55-2.57
Ni (0.2500, 0.4527, 0.0989)  5 Ni 2.47-2.52, 7 Fe 2.50-2.56
Ni (0.2500, 0.2497, 0.4964)  3 Ga 2.51-2.65, 4 Fe 2.52-2.54, 5 Ni 2.55-2.57
Ni (0.7500, 0.3580, 0.2972)  5 Fe 2.46-2.52, 1 Ga 2.48, 6 Ni 2.52-2.56

Results
symmetry = P2_1/m

=====

Q | GaFe3Ni6 | GGA-PBE | optimized geometry

Unit cell a=6.2167 b=4.8359 c=4.8359 alpha=59.33 beta=75.49 gamma=75.49
With the nearest neighbours (Å) after each atom.
Positions (direct):
Ni (0.6941, 0.4065, 0.9108)  3 Fe 2.31-2.52, 1 Ga 2.37, 3 Ni 2.37-2.46
Ni (0.3059, 0.0892, 0.5935)  3 Fe 2.31-2.52, 1 Ga 2.37, 3 Ni 2.37-2.46
Ni (0.6941, 0.9108, 0.4065)  3 Fe 2.31-2.52, 1 Ga 2.37, 3 Ni 2.37-2.46
Ni (0.3059, 0.5935, 0.0892)  3 Fe 2.31-2.52, 1 Ga 2.37, 3 Ni 2.37-2.46
Ni (0.9334, 0.3381, 0.3381)  6 Ni 2.62-2.81, 6 Fe 2.63-2.84, 1 Ga 2.65
Ni (0.0666, 0.6619, 0.6619)  6 Ni 2.62-2.81, 6 Fe 2.63-2.84, 1 Ga 2.65
Fe (0.0000, 0.0000, 0.0000)  4 Ni 2.31, 2 Fe 2.39
Fe (0.3197, 0.1029, 0.1029)  4 Ni 2.32-2.52, 2 Fe 2.39-2.40
Fe (0.6803, 0.8971, 0.8971)  4 Ni 2.32-2.52, 2 Fe 2.39-2.40
Ga (0.5000, 0.5000, 0.5000)  6 Ni 2.37-2.65

Results
symmetry = C2/m

=====

Result of the stability comparison: Q is the least stable of them.

=====

P | RbGaFeNi2 | GGA-PBE | optimized geometry

Unit cell a=4.5957 b=4.6996 c=4.5957 alpha=90.00 beta=90.00 gamma=90.00
With the nearest neighbours (Å) after each atom.
Positions (direct):
Ga (0.0000, 0.0000, 0.0000)  4 Ni 2.30, 2 Fe 2.35
Rb (0.5000, 0.5000, 0.5000)  4 Fe 3.25, 8 Ni 3.29
Ni (0.0000, 0.0000, 0.5000)  2 Ga 2.30
Ni (0.5000, 0.0000, 0.0000)  2 Ga 2.30
Fe (0.0000, 0.5000, 0.0000)  2 Ga 2.35

Results
symmetry = P4/mmm

=====

Q | RbGaFeNi2 | GGA-PBE | optimized geometry

Unit cell a=4.5196 b=5.4287 c=4.5196 alpha=90.00 beta=90.00 gamma=90.00
With the nearest neighbours (Å) after each atom.
Positions (direct):
Ni (0.0000, 0.0000, 0.5000)  2 Fe 2.26
Ni (0.5000, 0.0000, 0.0000)  2 Fe 2.26
Fe (0.0000, 0.0000, 0.0000)  4 Ni 2.26
Ga (0.5000, 0.5000, 0.5000)  4 Rb 3.20, 8 Ni 3.53
Rb (0.0000, 0.5000, 0.0000)  2 Fe 2.71

Results
symmetry = P4/mmm

=====

Result of the stability comparison: Q is the least stable of them.

=====

P | VGaFeNi | GGA-PBE | optimized geometry

Unit cell a=3.7698 b=3.7700 c=4.2944 alpha=116.03 beta=116.03 gamma=90.00
With the nearest neighbours (Å) after each atom.
Positions (direct):
Fe (0.2500, 0.7500, 0.5000)  4 V 2.53, 4 Ga 2.53, 4 Ni 2.67
Ni (0.7500, 0.2500, 0.5000)  4 Ga 2.53, 4 V 2.53, 4 Fe 2.67
V (0.0000, 0.0000, 0.0000)  4 Fe 2.53, 4 Ni 2.53, 4 Ga 2.67
Ga (0.5000, 0.5000, 0.0000)  4 Ni 2.53, 4 Fe 2.53, 4 V 2.67

Results
symmetry = I-4m2

=====

Q | VGaFeNi | GGA-PBE | optimized geometry

Unit cell a=4.0920 b=4.0920 c=4.0920 alpha=60.00 beta=60.00 gamma=60.00
With the nearest neighbours (Å) after each atom.
Positions (direct):
Ga (0.5000, 0.5000, 0.5000)  4 Fe 2.51, 4 Ni 2.51
Fe (0.7500, 0.7500, 0.7500)  4 V 2.51, 4 Ga 2.51
V (0.0000, 0.0000, 0.0000)  4 Fe 2.51, 4 Ni 2.51
Ni (0.2500, 0.2500, 0.2500)  4 Ga 2.51, 4 V 2.51

Results
symmetry = F-43m

=====

Result of the stability comparison: Q is the least stable of them.